Record 1
Material: La2Pm2SmHo
Method: DFT, PBE-GGA
State: relaxed Values from VASP.

Properties
The value obtained for the total moment is 0.00 μB per atom. The calculation puts the formation energy at 0.053 eV/atom.

Structure (Quantum ESPRESSO input):
```
&SYSTEM
  ibrav = 0, nat = 12, ntyp = 4
/
ATOMIC_SPECIES
La 138.91 La.upf
Pm 145.00 Pm.upf
Sm 150.36 Sm.upf
Ho 164.93 Ho.upf
CELL_PARAMETERS angstrom
5.780 0.000 0.000
0.000 7.145 0.000
0.000 0.000 9.993
ATOMIC_POSITIONS angstrom
La 2.890 0.054 0.002
La 0.000 1.842 1.757
La 2.890 3.627 9.991
La 0.000 5.414 8.236
Pm 0.000 1.840 8.341
Pm 2.890 1.841 3.327
Pm 0.000 5.412 1.652
Pm 2.890 5.414 6.667
Sm 2.890 1.840 6.581
Sm 2.890 5.412 3.412
Ho 0.000 0.054 4.995
Ho 0.000 3.627 4.999
```


Record 2
Material: La3PmSm6Ho2
Method: DFT, PBE-GGA
State: relaxed Values from VASP.

Properties
The value obtained for the total moment is 0.00 μB per atom. The calculation puts the formation energy at 0.020 eV/atom.

Structure (Quantum ESPRESSO input):
```
&SYSTEM
  ibrav = 0, nat = 12, ntyp = 4
/
ATOMIC_SPECIES
La 138.91 La.upf
Pm 145.00 Pm.upf
Sm 150.36 Sm.upf
Ho 164.93 Ho.upf
CELL_PARAMETERS angstrom
6.313 -0.003 0.003
-3.157 5.467 0.003
-1.062 -1.839 11.906
ATOMIC_POSITIONS angstrom
La -2.107 3.634 5.955
La 4.200 -0.009 5.955
La 1.047 1.812 5.955
Pm 0.000 0.000 0.000
Sm 3.152 1.803 8.997
Sm 2.098 3.633 2.917
Sm -1.058 1.822 2.914
Sm -0.014 3.631 8.997
Sm -0.005 -0.008 8.993
Sm 2.107 -0.006 2.914
Ho -0.001 3.644 0.003
Ho 3.157 1.820 0.003
```


Record 3
Material: La2PmSm2Ho2
Method: DFT, PBE-GGA
State: relaxed Values from VASP.

Properties
The value obtained for the total moment is 0.00 μB per atom. The calculation puts the formation energy at 0.025 eV/atom.

Structure (Quantum ESPRESSO input):
```
&SYSTEM
  ibrav = 0, nat = 7, ntyp = 4
/
ATOMIC_SPECIES
La 138.91 La.upf
Pm 145.00 Pm.upf
Sm 150.36 Sm.upf
Ho 164.93 Ho.upf
CELL_PARAMETERS angstrom
-3.480 2.980 2.327
-2.486 -4.452 -3.690
0.662 -4.511 6.767
ATOMIC_POSITIONS angstrom
La -0.920 -2.766 2.166
La -4.383 -3.216 3.238
Pm 0.000 0.000 0.000
Sm -3.467 -0.417 1.023
Sm -1.837 -5.565 4.381
Ho -1.865 -2.161 5.653
Ho -3.439 -3.821 -0.249
```


Record 4
Material: La2Pm3Sm6Ho
Method: DFT, PBE-GGA
State: relaxed Values from VASP.

Properties
The value obtained for the total moment is 0.00 μB per atom. The calculation puts the formation energy at 0.017 eV/atom.

Structure (Quantum ESPRESSO input):
```
&SYSTEM
  ibrav = 0, nat = 12, ntyp = 4
/
ATOMIC_SPECIES
La 138.91 La.upf
Pm 145.00 Pm.upf
Sm 150.36 Sm.upf
Ho 164.93 Ho.upf
CELL_PARAMETERS angstrom
6.318 -0.001 0.002
-3.158 5.472 0.002
-1.062 -1.840 11.912
ATOMIC_POSITIONS angstrom
La 0.003 3.647 0.002
La 3.157 1.825 0.002
Pm -2.113 3.642 5.958
Pm 4.211 -0.010 5.958
Pm 1.049 1.816 5.958
Sm 3.147 1.819 8.923
Sm 2.110 3.653 2.997
Sm -1.049 1.813 2.992
Sm 0.003 3.635 8.923
Sm -0.012 -0.021 8.919
Sm 2.095 -0.003 2.992
Ho 0.000 0.000 0.000
```


Record 5
Material: La4Pm2SmHo
Method: DFT, PBE-GGA
State: relaxed Values from VASP.

Properties
The value obtained for the total moment is 0.00 μB per atom. The calculation puts the formation energy at 0.016 eV/atom.

Structure (Quantum ESPRESSO input):
```
&SYSTEM
  ibrav = 0, nat = 8, ntyp = 4
/
ATOMIC_SPECIES
La 138.91 La.upf
Pm 145.00 Pm.upf
Sm 150.36 Sm.upf
Ho 164.93 Ho.upf
CELL_PARAMETERS angstrom
5.264 0.000 0.000
0.000 5.059 1.317
0.000 2.494 11.208
ATOMIC_POSITIONS angstrom
La 5.264 5.665 9.405
La 0.000 1.888 3.120
La 2.632 4.421 3.773
La 2.632 3.132 8.751
Pm 0.000 2.494 11.208
Pm 2.632 1.247 5.604
Sm 0.000 3.777 6.262
Ho 2.632 2.529 0.658
```


Record 6
Material: LaPmHoSn
Method: DFT, PBE-GGA
State: relaxed Values from VASP.

Properties
The value obtained for the total moment is 0.00 μB per atom. The calculation puts the formation energy at -0.270 eV/atom.

Structure (Quantum ESPRESSO input):
```
&SYSTEM
  ibrav = 0, nat = 4, ntyp = 4
/
ATOMIC_SPECIES
La 138.91 La.upf
Ho 164.93 Ho.upf
Sn 118.71 Sn.upf
Pm 145.00 Pm.upf
CELL_PARAMETERS angstrom
-1.239 -5.017 -2.038
3.818 -2.863 -2.843
2.290 -4.545 2.226
ATOMIC_POSITIONS angstrom
La 2.435 -6.212 -1.327
Ho 3.652 -9.318 -1.991
Sn 1.217 -3.106 -0.664
Pm 0.000 0.000 0.000
```


no.,total energy (eV per atom)
1,-4.7226
2,-4.7302
3,-4.7179
4,-4.7333
5,-4.7980
6,-4.8348